Compound: KSmMnF6
Source: Alexandria
Functional: GGA+U
Structure: relaxed

Results
Crystal system: trigonal
Energy in eV per formula unit: -54.3
D(E_F) in states/eV/cell: 0.000

Structure (CIF):
```
data_KSmMnF6
_chemical_formula_sum 'K2 Sm2 Mn2 F12'
_cell_length_a 6.0051
_cell_length_b 6.0051
_cell_length_c 10.7598
_cell_angle_alpha 90.00
_cell_angle_beta 90.00
_cell_angle_gamma 120.00
_space_group_name_H-M_alt 'P -3 1 c'
_space_group_IT_number 163
_space_group_name_Hall '-P 3 2c'
loop_
_atom_site_label
_atom_site_fract_x
_atom_site_fract_y
_atom_site_fract_z
_atom_site_occupancy
K1 0.0000 0.0000 0.0000 1
Sm1 0.3333 0.6667 0.2500 1
Mn1 0.3333 0.6667 0.7500 1
F1 0.0130 0.3794 0.6440 1
```